Compound: NiTeC2O
Source: Alexandria
Functional: GGA+U
Structure: relaxed

POSCAR file:
```
NiTeC2O
1.0
4.0542 0.0000 0.0000
0.0000 4.0542 0.0000
0.0000 0.0000 3.7110
Ni Te C O
1 1 2 1
Cartesian
0.0000 0.0000 0.0000
2.0271 2.0271 0.0000
0.0000 2.0271 1.8555
2.0271 0.0000 1.8555
0.0000 0.0000 1.8555
```

Results
* V: 12.200 A^3/atom

Compound: Rb2MnCo2O4
Source: Alexandria
Functional: GGA+U
Structure: relaxed

POSCAR file:
```
Rb2MnCo2O4
1.0
6.8767 -1.6867 0.0000
6.8767 1.6867 0.0000
-1.8982 0.0000 6.2292
Rb Mn Co O
2 1 2 4
Cartesian
1.6844 0.0000 0.1395
10.1708 0.0000 6.0896
-0.9491 0.0000 3.1146
3.5629 0.0000 3.1628
8.2923 0.0000 3.0663
1.6907 0.0000 4.1196
5.1482 0.0000 4.3116
6.7070 0.0000 1.9176
10.1645 0.0000 2.1096
```

Results
* V: 16.055 A^3/atom

| no. | total energy (eV per cell) |
| --- | --- |
| 1 | -19.05 |
| 2 | -49.93 |